! Ta3Mo4 (SCAN, single point on PBEsol structure); values from VASP
! ΔH_f (0 K)   -0.127 eV/atom
! Space group   C2/m
&SYSTEM
  ibrav = 0, nat = 7, ntyp = 2
/
ATOMIC_SPECIES
Mo 95.94 Mo.upf
Ta 180.95 Ta.upf
CELL_PARAMETERS angstrom
-0.512 1.190 -4.347
4.571 -2.289 1.201
-2.570 -4.525 -0.935
ATOMIC_POSITIONS angstrom
Mo 0.689 -1.725 -2.920
Mo 1.038 -0.800 -0.341
Mo 0.450 -4.823 -3.740
Ta 3.124 -2.418 -1.030
Ta -1.285 -2.262 -0.468
Ta -1.636 -3.205 -3.051
Mo 0.799 -3.898 -1.161